A) Below is a geometry-optimized HfIn3Os structure, with properties calculated at the PBE level.

Geometry as extended XYZ:
```
5
Lattice="5.110 0.000 0.000 0.000 5.110 0.000 0.000 0.000 5.110" Properties=species:S:1:pos:R:3 pbc="T T T"
Hf 0.000 0.000 0.000
In 0.000 2.555 2.555
In 2.555 0.000 2.555
In 2.555 2.555 0.000
Os 2.555 2.555 2.555
```

## Properties
DOS(E_F), states/eV/f.u.: 4.90
Total moment, μB per atom: 0.00


B) Below is a geometry-optimized HfIn3Os structure, with properties calculated at the PBE level.

Geometry as extended XYZ:
```
5
Lattice="5.458 0.000 0.000 0.000 5.458 0.000 0.000 0.000 5.458" Properties=species:S:1:pos:R:3 pbc="T T T"
Hf 0.000 0.000 0.000
In 0.000 0.000 2.729
In 0.000 2.729 0.000
In 2.729 0.000 0.000
Os 2.729 2.729 2.729
```

## Properties
DOS(E_F), states/eV/f.u.: 6.53
Total moment, μB per atom: 0.57


Tell me which of them is the least stable. Sure, it is B).


A) Below is a geometry-optimized HfIn2Os2 structure, with properties calculated at the PBE level.

Geometry as extended XYZ:
```
5
Lattice="-1.923 1.923 6.691 1.923 -1.923 6.691 1.923 1.923 -6.691" Properties=species:S:1:pos:R:3 pbc="T T T"
Hf 0.000 0.000 0.000
In 1.923 0.000 3.346
In 0.000 1.923 3.346
Os 0.000 0.000 5.460
Os 0.000 0.000 7.922
```

## Properties
DOS(E_F), states/eV/f.u.: 5.59
Total moment, μB per atom: 0.00


B) Below is a geometry-optimized HfIn2Os2 structure, with properties calculated at the PBE level.

Geometry as extended XYZ:
```
10
Lattice="7.384 0.000 0.000 0.000 7.384 0.000 0.000 0.000 3.435" Properties=species:S:1:pos:R:3 pbc="T T T"
Hf 0.000 0.000 0.000
Hf 3.692 3.692 0.000
In 1.190 2.502 1.717
In 2.502 6.194 1.717
In 4.882 1.190 1.717
In 6.194 4.882 1.717
Os 1.013 4.705 0.000
Os 2.680 1.013 0.000
Os 4.705 6.372 0.000
Os 6.372 2.680 0.000
```

## Properties
DOS(E_F), states/eV/f.u.: 1.68
Total moment, μB per atom: 0.00


Tell me which of them is the least stable. Sure, it is A).